Record 1
An optimized crystal structure of Sc4Zn2GaAg, computed with PBE.

a b c (Å): 4.7714 4.7714 23.3660
angles (deg): 90.00 90.00 120.00
With the nearest neighbours (Å) after each atom.
Space group R-3m (No. 166, hexagonal axes)
Symmetry-distinct sites (fractional):
Sc  0.0000  0.0000  0.1231 [6 per cell]  1 Ga 2.88, 4 Zn 2.89-2.92, 3 Ag 2.94
Sc  0.0000  0.0000  0.3731 [6 per cell]  3 Ga 2.91, 4 Zn 2.92-2.95, 1 Ag 2.97
Zn  0.0000  0.0000  0.2480 [6 per cell]  8 Sc 2.89-2.95
Ga  0.0000  0.0000  0.0000 [3 per cell]  8 Sc 2.88-2.91
Ag  0.0000  0.0000  0.5000 [3 per cell]  8 Sc 2.94-2.97

Computed properties:
Electronic total energy (eV/atom): -4.64
ΔE_f (eV per atom): -0.42

***

Record 2
An optimized crystal structure of VReMo2, computed with PBE.

a b c (Å): 2.5393 4.3454 12.9794
angles (deg): 90.00 90.00 90.00
With the nearest neighbours (Å) after each atom.
Space group Amm2 (No. 38)
Symmetry-distinct sites (fractional):
V  0.0000  0.0000  0.0000 [2 per cell]  2 V 2.54, 4 Re 2.76
Re  0.5000  0.0000  0.5881 [2 per cell]  2 Re 2.54, 2 Mo 2.55-2.64, 4 V 2.76
Mo  0.5000  0.0000  0.3850 [2 per cell]  4 Mo 2.53-2.54, 1 Re 2.64
Mo  0.5000  0.0000  0.7849 [2 per cell]  4 Mo 2.53-2.54, 1 Re 2.55

Computed properties:
Electronic total energy (eV/atom): -10.01
Offset from the most stable computed form (meV per atom): 933
ΔE_f (eV per atom): 0.80